# BaLiMoAs2, PBEsol geometry, DFT meta-GGA SCAN
data_BaLiMoAs2
_chemical_formula_sum 'Ba1 Li1 Mo1 As2'
_cell_length_a 5.594
_cell_length_b 5.594
_cell_length_c 4.973
_cell_angle_alpha 90.00
_cell_angle_beta 90.00
_cell_angle_gamma 90.00
_space_group_name_H-M_alt 'P 1'
_space_group_IT_number 1
_space_group_name_Hall 'P 1'
loop_
_atom_site_label
_atom_site_fract_x
_atom_site_fract_y
_atom_site_fract_z
Ba1 0.000 0.000 0.000
Li1 0.000 0.000 0.500
Mo1 0.500 0.500 0.500
As1 0.000 0.500 0.000
As2 0.500 0.000 0.000
# Size of the total moment in μB/f.u.: 4.40
# Total DFT energy (no corrections) in eV/atom: -21.93
# Volume in A^3/atom: 31.12

***

# BeFe2Re, PBEsol geometry, DFT meta-GGA SCAN
data_BeFe2Re
_chemical_formula_sum 'Be1 Fe2 Re1'
_cell_length_a 2.707
_cell_length_b 2.707
_cell_length_c 5.710
_cell_angle_alpha 90.00
_cell_angle_beta 90.00
_cell_angle_gamma 90.00
_space_group_name_H-M_alt 'P 1'
_space_group_IT_number 1
_space_group_name_Hall 'P 1'
loop_
_atom_site_label
_atom_site_fract_x
_atom_site_fract_y
_atom_site_fract_z
Be1 0.000 0.000 0.000
Fe1 0.500 0.500 0.216
Fe2 0.500 0.500 0.784
Re1 0.000 0.000 0.500
# Size of the total moment in μB/f.u.: 0.00
# Total DFT energy (no corrections) in eV/atom: -27.87
# Volume in A^3/atom: 10.46

***

# TlTcPt2, PBEsol geometry, DFT meta-GGA SCAN
data_TlTcPt2
_chemical_formula_sum 'Tl1 Tc1 Pt2'
_cell_length_a 4.877
_cell_length_b 4.877
_cell_length_c 2.775
_cell_angle_alpha 90.00
_cell_angle_beta 90.00
_cell_angle_gamma 90.00
_space_group_name_H-M_alt 'P 1'
_space_group_IT_number 1
_space_group_name_Hall 'P 1'
loop_
_atom_site_label
_atom_site_fract_x
_atom_site_fract_y
_atom_site_fract_z
Tl1 0.000 0.000 0.000
Tc1 0.500 0.500 0.000
Pt1 0.000 0.500 0.500
Pt2 0.500 0.000 0.500
# Size of the total moment in μB/f.u.: 1.30
# Excess energy over the best structure of this formula in the dataset in eV/atom: 0.066
# Total DFT energy (no corrections) in eV/atom: -61.72
# Volume in A^3/atom: 16.50

***

# KCaS2Cl, PBEsol geometry, DFT meta-GGA SCAN
data_KCaS2Cl
_chemical_formula_sum 'K1 Ca1 S2 Cl1'
_cell_length_a 5.329
_cell_length_b 5.329
_cell_length_c 5.346
_cell_angle_alpha 90.00
_cell_angle_beta 90.00
_cell_angle_gamma 90.00
_space_group_name_H-M_alt 'P 1'
_space_group_IT_number 1
_space_group_name_Hall 'P 1'
loop_
_atom_site_label
_atom_site_fract_x
_atom_site_fract_y
_atom_site_fract_z
K1 0.000 0.000 0.000
Ca1 0.500 0.500 0.500
S1 0.000 0.500 0.500
S2 0.500 0.000 0.500
Cl1 0.500 0.500 0.000
# Size of the total moment in μB/f.u.: 2.00
# Formation energy without anion corrections in eV/atom: -1.1987
# Total DFT energy (no corrections) in eV/atom: -10.24
# Volume in A^3/atom: 30.37